Entry from Alexandria: a relaxed structure of Er8Bi2Ru3 (PBE).

Geometry as POSCAR:
```
Er8Bi2Ru3
1.0
4.844 0.000 0.000
0.000 8.414 -4.833
0.000 -0.402 9.035
Er Bi Ru
8 2 3
Direct
0.000 0.604 0.207
0.000 0.396 0.793
0.000 0.108 0.215
0.000 0.892 0.785
0.500 0.651 0.790
0.500 0.139 0.789
0.500 0.861 0.211
0.500 0.349 0.210
0.500 0.257 0.513
0.500 0.743 0.487
0.500 0.000 0.000
0.000 0.248 0.000
0.000 0.752 0.000
```

Values from the calculation:
- SG = P2/m
- electronic total energy (eV per cell) = -78.07
- formation energy (meV per atom) = -460